Mg2Cd3In: relaxed, PBE.

Summary:
Relative energy among the computed polymorphs: 0.00 eV per formula unit
Crystal system: trigonal
Theoretical density: 5.99 Mg/m³
Calculated formation energy: -0.041 eV per atom
DOS(E_F): 2.97 states/eV per cell
Space group: P-3m1, No. 164
Total DFT energy (no corrections): -17.83 eV/cell

Unit cell a=7.111 b=6.713 c=6.713 alpha=120.00 beta=90.00 gamma=90.00
Fractional coordinates of all 12 atoms:
Mg: 0.000 0.000 0.500
Mg: 0.000 0.500 0.500
Mg: 0.000 0.500 0.000
Mg: 0.000 0.000 0.000
In: 0.664 0.333 0.667
In: 0.336 0.667 0.333
Cd: 0.328 0.671 0.836
Cd: 0.328 0.164 0.329
Cd: 0.328 0.164 0.836
Cd: 0.672 0.329 0.164
Cd: 0.672 0.836 0.164
Cd: 0.672 0.836 0.671


Mg5CdIn5: relaxed, PBE.

Summary:
Crystal system: monoclinic
Theoretical density: 4.72 Mg/m³
Calculated formation energy: 0.047 eV per atom
DOS(E_F): 5.99 states/eV per cell
Space group: C2/m, No. 12
Total DFT energy (no corrections): -22.06 eV/cell

Unit cell a=5.611 b=9.969 c=5.653 alpha=109.48 beta=90.00 gamma=106.35
Fractional coordinates of all 11 atoms:
In: 0.759 0.518 0.844
In: 0.158 0.317 0.555
In: 0.241 0.482 0.156
In: 0.842 0.683 0.445
In: 0.500 0.000 0.000
Cd: 0.000 0.000 0.000
Mg: 0.670 0.339 0.238
Mg: 0.412 0.825 0.367
Mg: 0.588 0.175 0.633
Mg: 0.330 0.661 0.762
Mg: 0.000 0.000 0.500


MgCd2In2: relaxed, PBE.

Summary:
Relative energy among the computed polymorphs: 0.34 eV per formula unit
Crystal system: tetragonal
Theoretical density: 6.19 Mg/m³
Calculated formation energy: 0.050 eV per atom
DOS(E_F): 4.51 states/eV per cell
Space group: P4/mbm, No. 127
Total DFT energy (no corrections): -17.30 eV/cell

Unit cell a=7.898 b=7.898 c=4.116 alpha=90.00 beta=90.00 gamma=90.00
Fractional coordinates of all 10 atoms:
Cd: 0.633 0.133 0.000
Cd: 0.133 0.367 0.000
Cd: 0.367 0.867 0.000
Cd: 0.867 0.633 0.000
Mg: 0.000 0.000 0.000
Mg: 0.500 0.500 0.000
In: 0.829 0.329 0.500
In: 0.671 0.829 0.500
In: 0.171 0.671 0.500
In: 0.329 0.171 0.500


Mg3Cd7In: relaxed, PBE.

Summary:
Relative energy among the computed polymorphs: 0.00 eV per formula unit
Crystal system: orthorhombic
Theoretical density: 6.42 Mg/m³
Calculated formation energy: -0.031 eV per atom
DOS(E_F): 7.04 states/eV per cell
Space group: Cmcm, No. 63
Total DFT energy (no corrections): -28.54 eV/cell

Unit cell a=3.315 b=11.869 c=12.948 alpha=90.00 beta=90.00 gamma=98.03
Fractional coordinates of all 22 atoms:
Cd: 0.681 0.362 0.568
Cd: 0.808 0.615 0.870
Cd: 0.192 0.385 0.130
Cd: 0.808 0.615 0.630
Cd: 0.489 0.978 0.128
Cd: 0.511 0.022 0.872
Cd: 0.598 0.196 0.250
Cd: 0.319 0.638 0.432
Cd: 0.489 0.978 0.372
Cd: 0.511 0.022 0.628
Cd: 0.319 0.638 0.068
Cd: 0.681 0.362 0.932
Cd: 0.402 0.804 0.750
Cd: 0.192 0.385 0.370
Mg: 0.080 0.160 0.473
Mg: 0.775 0.550 0.250
Mg: 0.920 0.840 0.973
Mg: 0.080 0.160 0.027
Mg: 0.920 0.840 0.527
Mg: 0.225 0.450 0.750
In: 0.101 0.203 0.750
In: 0.899 0.797 0.250


MgCdIn: relaxed, PBE.

Summary:
Crystal system: orthorhombic
Theoretical density: 5.98 Mg/m³
Calculated formation energy: -0.050 eV per atom
DOS(E_F): 1.04 states/eV per cell
Space group: Imm2, No. 44
Total DFT energy (no corrections): -5.40 eV/cell

Unit cell a=5.499 b=5.499 c=5.499 alpha=145.37 beta=131.74 gamma=60.75
Fractional coordinates of all 3 atoms:
In: 0.333 0.333 0.000
Cd: 0.002 0.002 0.000
Mg: 0.665 0.665 0.000


Mg3Cd6In: relaxed, PBE.

Summary:
Crystal system: triclinic
Theoretical density: 6.26 Mg/m³
Calculated formation energy: -0.031 eV per atom
DOS(E_F): 6.29 states/eV per cell
Space group: P-1, No. 2
Total DFT energy (no corrections): -26.65 eV/cell

Unit cell a=3.268 b=5.891 c=24.834 alpha=81.91 beta=98.41 gamma=103.21
Fractional coordinates of all 20 atoms:
Cd: 0.309 0.856 0.900
Cd: 0.517 0.794 0.598
Cd: 0.353 0.315 0.197
Cd: 0.803 0.730 0.391
Cd: 0.298 0.983 0.297
Cd: 0.197 0.270 0.609
Cd: 0.647 0.685 0.803
Cd: 0.993 0.338 0.893
Cd: 0.691 0.144 0.100
Cd: 0.483 0.206 0.402
Cd: 0.007 0.662 0.107
Cd: 0.702 0.017 0.703
Mg: 0.000 0.000 0.500
Mg: 0.986 0.546 0.700
Mg: 0.359 0.175 0.794
Mg: 0.641 0.825 0.206
Mg: 0.500 0.500 0.000
Mg: 0.014 0.454 0.300
In: 0.000 0.000 0.000
In: 0.500 0.500 0.500